1.
Pu4Pa: relaxed, GGA-PBE.

```
Pu4Pa
1.0
-1.8476 3.3040 3.7220
1.7136 -3.3051 3.7846
4.6726 2.5185 0.0837
Pa Pu
1 4
Direct
0.5000 0.5000 0.5000
0.0000 0.0000 0.0000
0.5000 0.0000 0.5000
0.0000 0.5000 0.5000
0.5000 0.5000 0.0000
```



2.
Pu3Pa8: relaxed, GGA-PBE.

```
Pu3Pa8
1.0
-1.2951 2.6996 2.3938
-5.0297 -2.3548 -3.1350
3.4373 -6.8929 9.6332
Pu Pa
3 8
Direct
0.0000 0.0000 0.0000
0.9080 0.8160 0.3605
0.0920 0.1840 0.6395
0.7239 0.4478 0.0894
0.2761 0.5522 0.9106
0.5458 0.0916 0.8186
0.4542 0.9084 0.1814
0.8176 0.6352 0.7258
0.1824 0.3648 0.2742
0.6321 0.2642 0.4563
0.3679 0.7358 0.5437
```

Computed properties:
Energy above the lowest structure with this stoichiometry   0.000 eV/atom



3.
PuPa6: relaxed, GGA-PBE.

```
PuPa6
1.0
3.1865 0.0000 -0.4278
-1.5823 6.7699 -3.7312
-0.0220 0.0000 7.8903
Pu Pa
1 6
Direct
0.5000 0.0000 0.0000
0.5282 0.5729 0.8441
0.6841 0.1559 0.7288
0.0447 0.7288 0.5729
0.9553 0.2712 0.4271
0.3159 0.8441 0.2712
0.4718 0.4271 0.1559
```



4.
PuPa5: relaxed, GGA-PBE.

```
PuPa5
1.0
-3.9044 1.2978 -2.2488
0.1631 -3.9213 -2.5462
-3.8253 -1.2228 5.9360
Pu Pa
1 5
Direct
0.0000 0.5000 0.0000
0.5000 0.6652 0.3304
0.0000 0.8348 0.6695
0.5000 0.0000 0.0000
0.0000 0.1652 0.3305
0.5000 0.3348 0.6696
```

Computed properties:
Energy above the lowest structure with this stoichiometry   0.000 eV/atom



5.
PuPa4: relaxed, GGA-PBE.

```
PuPa4
1.0
5.0258 0.0000 0.0000
0.0000 5.0258 0.0000
0.0000 0.0000 5.0258
Pa Pu
4 1
Direct
0.0000 0.0000 0.0000
0.5000 0.0000 0.5000
0.0000 0.5000 0.5000
0.5000 0.5000 0.0000
0.5000 0.5000 0.5000
```

Computed properties:
Energy above the lowest structure with this stoichiometry   0.278 eV/atom



6.
Pu2Pa3: relaxed, GGA-PBE.

```
Pu2Pa3
1.0
-2.2090 -2.7494 -5.2996
-3.5434 -5.2742 0.3898
-7.0631 0.8076 -1.2982
Pa Pu
6 4
Direct
0.1081 0.7500 0.7500
0.7500 0.3919 0.7500
0.3919 0.1081 0.7500
0.2500 0.6081 0.2500
0.6081 0.8919 0.2500
0.8919 0.2500 0.2500
0.8313 0.8313 0.5060
0.3313 0.3313 0.0060
0.1687 0.1687 0.4940
0.6687 0.6687 0.9940
```

Computed properties:
Energy above the lowest structure with this stoichiometry   0.332 eV/atom



Formation energy values (in eV per atom) by entry order: 0.8870 0.0297 0.1354 0.0178 0.3595 0.3974.
Calculated volume values (in Å³/cell) by entry order: 149.62 261.44 170.15 148.60 126.94 218.37.